(1)
VASP calculation (PBE) on crystalline NaCoGeS3 at its relaxed geometry.

Output
Energy, eV per formula unit: -28.61
Total magnetization, μB per formula unit: 0.0

abc: 6.5936 3.5158 10.3576
angles: 90.00 105.91 90.00
Last column: nearest neighbours and their distance in Å.
Atoms (fractional coordinates):
Na 0.0485 0.2500 0.1701  5 S 2.79-2.92
Na 0.9515 0.7500 0.8299  5 S 2.79-2.92
Co 0.4507 0.7500 0.8546  6 S 2.25-2.33
Co 0.5493 0.2500 0.1454  6 S 2.25-2.33
Ge 0.3632 0.2500 0.5568  3 S 2.38-2.40
Ge 0.6368 0.7500 0.4432  3 S 2.38-2.40
S 0.1972 0.7500 0.6482  1 Co 2.33, 2 Ge 2.40
S 0.3092 0.2500 0.9435  3 Co 2.25-2.30
S 0.3912 0.7500 0.2266  2 Co 2.32, 1 Ge 2.38
S 0.6088 0.2500 0.7734  2 Co 2.32, 1 Ge 2.38
S 0.6908 0.7500 0.0565  3 Co 2.25-2.30
S 0.8028 0.2500 0.3518  1 Co 2.33, 2 Ge 2.40

---

(2)
VASP calculation (PBE) on crystalline NbCo2Ge at its relaxed geometry.

Output
Energy, eV per formula unit: -28.98
Total magnetization, μB per formula unit: 1.4

abc: 4.2316 4.2316 4.2316
angles: 60.00 60.00 60.00
Last column: nearest neighbours and their distance in Å.
Atoms (fractional coordinates):
Nb 0.0000 0.0000 0.0000  4 Ge 2.59, 4 Co 2.59
Co 0.2500 0.2500 0.2500  4 Nb 2.59, 4 Co 2.59
Co 0.5000 0.5000 0.5000  4 Ge 2.59, 4 Co 2.59
Ge 0.7500 0.7500 0.7500  4 Nb 2.59, 4 Co 2.59